Density functional theory data (PBE+U) for an optimized crystal structure of CuW2F2.

```
CuW2F2
1.0
-2.4216 3.2919 6.7196
-7.4358 -0.2695 -2.5477
-0.3167 -2.7038 1.2104
W F Cu
4 4 2
direct
0.1328 0.6328 0.5000 W
0.3672 0.1328 0.5000 W
0.8672 0.3672 0.5000 W
0.6328 0.8672 0.5000 W
0.2727 0.7727 0.0000 F
0.2273 0.2727 0.0000 F
0.7273 0.2273 0.0000 F
0.7727 0.7273 0.0000 F
0.0000 0.0000 0.0000 Cu
0.5000 0.5000 0.0000 Cu
```

Summary:
* total magnetization: 14.23 Bohr magnetons per cell
* space group: P4/mbm (127)
* offset from the most stable computed form: 0.00 eV/f.u.